Compound: Be2MoCl
Source: the Alexandria database
Functional: PBE
Structure: optimized geometry

## Properties
Excess energy over the best structure of this formula in the dataset: 565.0 meV/atom
Formation energy (no corrections): 755 meV per atom
Energy: -4.28 eV per atom
DOS at the Fermi energy: 2.81 states/eV/f.u.
Size of the total moment: 0.00 μB per cell

a = 6.444 Å, b = 6.444 Å, c = 4.932 Å
α = 90.00°, β = 90.00°, γ = 90.00°
Space group I-42d (No. 122)
Asymmetric unit:
Be: 0.225 0.250 0.125 x8
Mo: 0.000 0.000 0.500 x4
Cl: 0.000 0.000 0.000 x4